An optimized crystal structure of Sr4P2Br3, computed with GGA-PBE.

Volume in Å³ per cell: 637.04
Total moment in μB/f.u.: 1.0
Energy relative to the elements, uncorrected in kJ/mol of formula units: -1326

Lattice parameters (Å, degrees): 7.6871 4.4380 18.6732 90.00 90.06 90.00
Closest atoms and distances in Å follow each position.
Space group C2/m (No. 12)
Symmetry-distinct sites (fractional):
Sr1 0.0008 0.0000 0.3041 (multiplicity 4)  3 Br 3.05, 3 P 3.20
Sr2 0.1663 0.5000 0.8818 (multiplicity 4)  3 P 2.99
P1 0.1672 0.5000 0.2010 (multiplicity 4)  6 Sr 2.99-3.20
Br1 0.0000 0.0000 0.0000 (multiplicity 2)  6 Sr 3.38
Br2 0.1656 0.5000 0.6077 (multiplicity 4)  3 Sr 3.05